[1]
# RbMgTl3 (GGA-PBE, optimized geometry)
data_RbMgTl3
_symmetry_space_group_name_H-M 'P m -3 m'
_symmetry_Int_Tables_number 221
_symmetry_space_group_name_Hall '-P 4 2 3'
_cell_length_a 6.3730
_cell_length_b 6.3730
_cell_length_c 6.3730
_cell_angle_alpha 90.00
_cell_angle_beta 90.00
_cell_angle_gamma 90.00
loop_
_atom_site_label
_atom_site_fract_x
_atom_site_fract_y
_atom_site_fract_z
Rb1 0.0000 0.0000 0.0000
Mg1 0.5000 0.5000 0.5000
Tl1 0.0000 0.0000 0.5000
# - Magnetization: 0.000 Bohr magnetons per cell
# - Density: 4638 kg/m3
# - V: 51.8 Å³/atom
# - Polymorph energy (0 for the lowest one): 850.6 meV/atom
# - Energy of formation from the pure elements: 0.81 eV per atom

[2]
# RbMg3Tl (GGA-PBE, optimized geometry)
data_RbMg3Tl
_symmetry_space_group_name_H-M 'P m -3 m'
_symmetry_Int_Tables_number 221
_symmetry_space_group_name_Hall '-P 4 2 3'
_cell_length_a 6.4915
_cell_length_b 6.4915
_cell_length_c 6.4915
_cell_angle_alpha 90.00
_cell_angle_beta 90.00
_cell_angle_gamma 90.00
loop_
_atom_site_label
_atom_site_fract_x
_atom_site_fract_y
_atom_site_fract_z
Rb1 0.0000 0.0000 0.0000
Mg1 0.0000 0.0000 0.5000
Tl1 0.5000 0.5000 0.5000
# - Magnetization: 0.000 Bohr magnetons per cell
# - Density: 2202 kg/m3
# - V: 54.7 Å³/atom
# - Polymorph energy (0 for the lowest one): 733.8 meV/atom
# - Energy of formation from the pure elements: 0.97 eV per atom

[3]
# RbMg2Tl (GGA-PBE, optimized geometry)
data_RbMg2Tl
_symmetry_space_group_name_H-M 'I 41/a m d'
_symmetry_Int_Tables_number 141
_cell_length_a 6.0554
_cell_length_b 6.0554
_cell_length_c 19.7542
_cell_angle_alpha 90.00
_cell_angle_beta 90.00
_cell_angle_gamma 90.00
loop_
_symmetry_equiv_pos_as_xyz
'x,y,z'
'-x,-y,-z'
'-y+1/4,x+3/4,z+1/4'
'y+1/4,-x+3/4,-z+1/4'
'-x+1/2,-y,z+1/2'
'x+1/2,y,-z+1/2'
'y+1/4,-x+1/4,z+3/4'
'-y+1/4,x+1/4,-z+3/4'
'x,-y,-z'
'-x,y,z'
'-y+1/4,-x+1/4,-z+3/4'
'y+1/4,x+1/4,z+3/4'
'-x+1/2,y,-z+1/2'
'x+1/2,-y,z+1/2'
'y+1/4,x+3/4,-z+1/4'
'-y+1/4,-x+3/4,z+1/4'
'x+1/2,y+1/2,z+1/2'
'-x+1/2,-y+1/2,-z+1/2'
'-y+3/4,x+1/4,z+3/4'
'y+3/4,-x+1/4,-z+3/4'
'-x,-y+1/2,z'
'x,y+1/2,-z'
'y+3/4,-x+3/4,z+1/4'
'-y+3/4,x+3/4,-z+1/4'
'x+1/2,-y+1/2,-z+1/2'
'-x+1/2,y+1/2,z+1/2'
'-y+3/4,-x+3/4,-z+1/4'
'y+3/4,x+3/4,z+1/4'
'-x,y+1/2,-z'
'x,-y+1/2,z'
'y+3/4,x+1/4,-z+3/4'
'-y+3/4,-x+1/4,z+3/4'
loop_
_atom_site_label
_atom_site_fract_x
_atom_site_fract_y
_atom_site_fract_z
Rb1 0.0000 0.2500 0.3750
Mg1 0.0000 0.0000 0.0000
Tl1 0.0000 0.2500 0.8750
# - Magnetization: 0.000 Bohr magnetons per cell
# - Density: 3104 kg/m3
# - V: 45.3 Å³/atom
# - Polymorph energy (0 for the lowest one): 37.0 meV/atom
# - Energy of formation from the pure elements: 0.22 eV per atom

[4]
# RbMg2Tl10 (GGA-PBE, optimized geometry)
data_RbMg2Tl10
_symmetry_space_group_name_H-M 'F m m m'
_symmetry_Int_Tables_number 69
_symmetry_space_group_name_Hall '-F 2 2'
_cell_length_a 6.4466
_cell_length_b 15.5753
_cell_length_c 16.1504
_cell_angle_alpha 90.00
_cell_angle_beta 90.00
_cell_angle_gamma 90.00
loop_
_atom_site_label
_atom_site_fract_x
_atom_site_fract_y
_atom_site_fract_z
Rb1 0.0000 0.0000 0.0000
Mg1 0.2500 0.0000 0.2500
Tl1 0.0000 0.1049 0.3869
Tl2 0.0000 0.1743 0.1809
Tl3 0.2500 0.2500 0.0000
# - Magnetization: 0.000 Bohr magnetons per cell
# - Density: 8921 kg/m3
# - V: 31.2 Å³/atom
# - Energy of formation from the pure elements: -0.02 eV per atom

[5]
# RbMgTl (GGA-PBE, optimized geometry)
data_RbMgTl
_symmetry_space_group_name_H-M 'P 1 m 1'
_symmetry_Int_Tables_number 6
_cell_length_a 6.2941
_cell_length_b 5.1631
_cell_length_c 7.6179
_cell_angle_alpha 90.00
_cell_angle_beta 114.15
_cell_angle_gamma 90.00
loop_
_symmetry_equiv_pos_as_xyz
'x,y,z'
'x,-y,z'
loop_
_atom_site_label
_atom_site_fract_x
_atom_site_fract_y
_atom_site_fract_z
Rb1 0.0000 0.0000 0.0000
Rb2 0.4716 0.5000 0.0027
Mg1 0.0598 0.5000 0.4667
Mg2 0.5933 0.5000 0.5359
Tl1 0.3635 0.0000 0.6060
Tl2 0.7605 0.0000 0.3977
# - Magnetization: 0.000 Bohr magnetons per cell
# - Density: 4619 kg/m3
# - V: 37.6 Å³/atom
# - Polymorph energy (0 for the lowest one): 61.3 meV/atom
# - Energy of formation from the pure elements: 0.00 eV per atom

[6]
# RbMgTl (GGA-PBE, optimized geometry)
data_RbMgTl
_symmetry_space_group_name_H-M 'C m m e'
_symmetry_Int_Tables_number 67
_symmetry_space_group_name_Hall '-C 2a 2'
_cell_length_a 6.6211
_cell_length_b 8.6947
_cell_length_c 8.2251
_cell_angle_alpha 90.00
_cell_angle_beta 90.00
_cell_angle_gamma 90.00
loop_
_atom_site_label
_atom_site_fract_x
_atom_site_fract_y
_atom_site_fract_z
Rb1 0.0000 0.2500 0.1476
Mg1 0.2500 0.0000 0.5000
Tl1 0.0000 0.2500 0.6518
# - Magnetization: 0.000 Bohr magnetons per cell
# - Density: 4407 kg/m3
# - V: 39.5 Å³/atom
# - Polymorph energy (0 for the lowest one): 29.8 meV/atom
# - Energy of formation from the pure elements: -0.03 eV per atom